Density functional theory data (PBE+U) for crystalline VAgPbO4 at its relaxed geometry.

Lattice parameters (Å, degrees): 5.826 5.938 7.245 90.00 108.25 90.00
Space group P2_1/m (No. 11)
Unique sites:
V (0.040, 0.250, 0.331)
Ag (0.412, 0.750, 0.453)
Pb (0.198, 0.250, 0.908)
O (0.114, 0.011, 0.212)
O (0.212, 0.250, 0.578)
O (0.263, 0.750, 0.707)

Computed properties:
VASP energy in eV/atom: -6.163
D(E_F) in states/eV/cell: 0.00